Density functional theory data (GGA+U) for crystalline CaLaFeBiO6 at its relaxed geometry.

a = 5.686 Å, b = 5.912 Å, c = 9.945 Å
α = 90.00°, β = 124.40°, γ = 90.00°
Fractional positions:
Ca (0.000, 0.194, 0.000)
Ca (0.000, 0.806, 0.500)
La (0.531, 0.306, 0.499)
La (0.531, 0.694, 0.999)
Fe (0.766, 0.249, 0.248)
Fe (0.766, 0.751, 0.748)
Bi (0.267, 0.246, 0.750)
Bi (0.267, 0.754, 0.250)
O (0.111, 0.201, 0.484)
O (0.111, 0.799, 0.984)
O (0.415, 0.294, 0.012)
O (0.415, 0.706, 0.512)
O (0.532, 0.064, 0.304)
O (0.532, 0.936, 0.804)
O (0.644, 0.460, 0.809)
O (0.644, 0.540, 0.309)
O (0.887, 0.035, 0.685)
O (0.887, 0.965, 0.185)
O (0.998, 0.439, 0.192)
O (0.998, 0.561, 0.692)

Fermi-level density of states in states/eV per cell: 2.821
Relative energy among the computed polymorphs in meV/atom: 0
Volume in A^3/atom: 13.791
Total DFT energy (no corrections) in Ry per atom: -0.4969